(A)
Entry from the Alexandria database: a relaxed DyTm3Th2 crystal (PBE).

Unit cell a=9.9552 b=3.5458 c=10.5556 alpha=90.00 beta=90.13 gamma=90.00
Closest atoms and distances in Å follow each position.
Space group P2_1/m (No. 11)
Asymmetric unit:
Dy: 0.1236 0.2500 0.2512 [2 per cell]  5 Th 3.50-3.57, 5 Tm 3.51-3.57, 2 Dy 3.55
Tm: 0.1312 0.2500 0.9181 [2 per cell]  3 Th 3.49-3.54, 6 Tm 3.49-3.60, 3 Dy 3.52-3.57
Tm: 0.3711 0.7500 0.4178 [2 per cell]  3 Th 3.49-3.54, 2 Dy 3.51, 7 Tm 3.52-3.57
Tm: 0.3758 0.7500 0.7509 [2 per cell]  7 Tm 3.49-3.56, 5 Th 3.50-3.54
Th: 0.1250 0.2500 0.5825 [2 per cell]  5 Tm 3.49-3.54, 3 Dy 3.50-3.52, 4 Th 3.51-3.55
Th: 0.3778 0.7500 0.0829 [2 per cell]  4 Th 3.49-3.55, 6 Tm 3.49-3.54, 2 Dy 3.57

Magnetization = 0.00 μB/cell

=====

(B)
Entry from the Alexandria database: a relaxed DyTm3Th2 crystal (PBE).

Unit cell a=23.2655 b=3.4380 c=10.0493 alpha=90.00 beta=108.30 gamma=90.00
Closest atoms and distances in Å follow each position.
Space group C2/m (No. 12)
Asymmetric unit:
Dy: 0.1873 0.0000 0.0368 [4 per cell]  5 Tm 3.32-3.62, 3 Th 3.38-3.59, 4 Dy 3.44-3.66
Tm: 0.0583 0.0000 0.4441 [4 per cell]  6 Tm 3.25-3.50, 1 Th 3.36
Tm: 0.0679 0.5000 0.7713 [4 per cell]  8 Tm 3.44-3.65, 2 Dy 3.62, 2 Th 3.64
Tm: 0.1944 0.0000 0.7118 [4 per cell]  3 Dy 3.32-3.54, 3 Th 3.35-3.52, 5 Tm 3.44-3.62
Th: 0.0712 0.5000 0.1355 [4 per cell]  5 Th 3.44-3.57, 2 Dy 3.59, 4 Tm 3.64
Th: 0.1905 0.0000 0.3754 [4 per cell]  4 Tm 3.35-3.52, 1 Dy 3.38, 6 Th 3.44-3.54

Magnetization = 0.00 μB/cell

=====

Most stable: (A) (next structure +120 meV per atom)

=====

(A)
Entry from the Alexandria database: a relaxed Dy7Tm3Th crystal (PBE).

Unit cell a=16.8396 b=10.6561 c=8.0716 alpha=90.00 beta=90.00 gamma=90.00
Closest atoms and distances in Å follow each position.
Space group Cmcm (No. 63)
Asymmetric unit:
Dy: 0.0000 0.2498 0.2500 [4 per cell]  2 Th 3.34, 4 Tm 3.34-3.49, 6 Dy 3.48-3.52
Dy: 0.1455 0.2471 0.5562 [16 per cell]  3 Dy 3.13-3.48, 1 Tm 3.27
Dy: 0.1630 0.4570 0.2500 [8 per cell]  3 Tm 3.08-3.44, 2 Dy 3.35
Tm: 0.0000 0.5000 0.0000 [4 per cell]  10 Dy 3.34-3.67
Tm: 0.1637 0.0489 0.2500 [8 per cell]  3 Dy 3.08-3.27
Th: 0.0000 0.0000 0.0000 [4 per cell]  6 Dy 3.34-3.63, 4 Tm 3.46

Magnetization = 0.00 μB/cell

=====

(B)
Entry from the Alexandria database: a relaxed Dy7Tm3Th crystal (PBE).

Unit cell a=7.0193 b=7.0193 c=8.5646 alpha=90.00 beta=90.00 gamma=120.00
Closest atoms and distances in Å follow each position.
Space group P3m1 (No. 156)
Asymmetric unit:
Dy: 0.0000 0.0000 0.0000 [1 per cell]  3 Tm 3.50, 9 Dy 3.51
Dy: 0.1653 0.3306 0.6640 [3 per cell]  7 Dy 3.48-3.54, 2 Tm 3.49, 2 Th 3.51
Dy: 0.5031 0.0063 0.9948 [3 per cell]  8 Dy 3.44-3.58, 1 Th 3.46, 2 Tm 3.51
Tm: 0.3358 0.1679 0.3322 [3 per cell]  1 Th 3.48, 4 Tm 3.48-3.54, 5 Dy 3.49-3.51
Th: 0.6667 0.3333 0.6636 [1 per cell]  9 Dy 3.46-3.51, 3 Tm 3.48

Magnetization = 0.00 μB/cell

=====

Most stable: (B) (next structure +113 meV per atom)

=====

(A)
Entry from the Alexandria database: a relaxed DyTm2Th3 crystal (PBE).

Unit cell a=10.1696 b=11.2432 c=6.6865 alpha=90.00 beta=90.00 gamma=90.00
Closest atoms and distances in Å follow each position.
Space group Cmcm (No. 63)
Asymmetric unit:
Dy: 0.0000 0.2301 0.2500 [4 per cell]  6 Tm 3.39-3.77, 6 Th 3.46-3.52
Tm: 0.1664 0.2704 0.7500 [8 per cell]  3 Tm 3.38-3.78, 3 Dy 3.39-3.77, 6 Th 3.47-3.51
Th: 0.0000 0.5000 0.0000 [4 per cell]  4 Th 3.34-3.39, 2 Dy 3.46, 4 Tm 3.51
Th: 0.1671 0.0000 0.0000 [8 per cell]  4 Th 3.34-3.40, 4 Tm 3.47-3.51, 2 Dy 3.52

Magnetization = 0.00 μB/cell

=====

(B)
Entry from the Alexandria database: a relaxed DyTm2Th3 crystal (PBE).

Unit cell a=15.0498 b=5.0229 c=11.2214 alpha=90.00 beta=116.49 gamma=90.00
Closest atoms and distances in Å follow each position.
Space group C2/m (No. 12)
Asymmetric unit:
Dy: 0.1257 0.0000 0.1264 [4 per cell]  4 Th 3.54, 7 Tm 3.55-3.57, 1 Dy 3.58
Tm: 0.0415 0.5000 0.8734 [4 per cell]  4 Th 3.53-3.54, 4 Tm 3.54-3.58, 4 Dy 3.56-3.57
Tm: 0.2077 0.0000 0.8736 [4 per cell]  4 Th 3.53-3.54, 5 Tm 3.54-3.57, 3 Dy 3.55-3.56
Th: 0.0414 0.0000 0.3747 [4 per cell]  3 Tm 3.53-3.54, 1 Dy 3.54, 8 Th 3.55-3.56
Th: 0.1249 0.5000 0.6251 [4 per cell]  3 Tm 3.53-3.54, 1 Dy 3.54, 8 Th 3.55
Th: 0.2083 0.5000 0.3751 [4 per cell]  2 Tm 3.54, 2 Dy 3.54, 8 Th 3.55-3.56

Magnetization = 0.00 μB/cell

=====

Most stable: (B) (next structure +151 meV per atom)